A relaxed IrF4 crystal. Source: the Alexandria database, functional PBE.

```
IrF4
1.0
-0.721 3.951 2.465
-2.122 -2.500 3.385
4.234 -0.605 2.208
F Ir
8 2
Cartesian
0.637 -0.118 1.997
-0.857 1.195 5.222
-0.201 1.964 2.920
2.574 -0.329 3.471
0.997 -1.453 4.932
2.004 2.069 3.965
1.440 0.801 5.955
-1.032 -0.742 3.770
0.695 0.423 4.029
0.000 0.000 0.000
```

E_tot: -4.238 eV per atom
Calculated volume: 53.4 Å³/f.u.
Space group: No. 114
Crystal system: tetragonal
Energy above the lowest structure with this stoichiometry: 393 meV per atom

A relaxed CrCoGePdS crystal. Source: the Alexandria database, functional PBE.

```
CrCoGePdS
1.0
4.198 0.000 0.000
0.000 2.841 0.000
-4.137 0.000 12.416
Ge Pd Cr Co S
2 2 2 2 2
Cartesian
3.160 0.000 2.316
1.092 1.421 8.524
-1.004 1.421 9.991
1.065 0.000 3.783
-1.033 1.421 4.561
-3.102 0.000 10.769
1.095 0.000 6.619
3.163 1.421 0.411
-1.005 0.000 6.219
1.063 1.421 0.011
```

E_tot: -6.279 eV per atom
Calculated volume: 74.1 Å³/f.u.
Space group: No. 8
Crystal system: monoclinic
Energy above the lowest structure with this stoichiometry: 151 meV per atom

Question: Which value of calculated volume does entry 2 give?
Answer: 74.1 Å³/f.u.